18
Lattice="5.501 0.000 0.000 0.000 5.603 -0.280 0.000 0.447 8.885" Properties=species:S:1:pos:R:3 comment="Cd2IO6 | the Alexandria database | GGA-PBE | relaxed" e_above_lowest_polymorph_ev_per_fu=0.00 spacegroup="P2_1/c, No. 14" dos_ef_per_ev_atom=0.83 magmom_total_mub_per_atom=0.116 formation_energy_uncorrected_ev_per_atom=-0.56 pbc="T T T"
I 2.751 2.801 -0.140
I 0.000 0.224 4.442
Cd 0.007 2.932 2.485
Cd 2.757 0.093 1.817
Cd 2.744 5.957 6.788
Cd 5.495 3.118 6.120
O 3.825 2.368 7.427
O 1.044 4.258 4.249
O 3.795 4.817 8.659
O 1.074 1.104 5.760
O 1.658 3.993 7.360
O 3.843 2.057 1.245
O 1.093 0.968 3.058
O 1.707 1.233 -0.054
O 1.676 3.682 1.178
O 4.409 5.082 5.547
O 4.427 4.946 2.845
O 4.457 1.792 4.356

=====

4
Lattice="0.077 -0.870 4.324 -3.222 1.504 2.611 -2.924 -2.810 1.737" Properties=species:S:1:pos:R:3 comment="CdIO2 | the Alexandria database | GGA-PBE | relaxed" e_above_lowest_polymorph_ev_per_fu=3.89 spacegroup="Fm-3m, No. 225" dos_ef_per_ev_atom=1.10 magmom_total_mub_per_atom=0.021 formation_energy_uncorrected_ev_per_atom=0.40 pbc="T T T"
O -1.517 -0.544 2.168
O -4.551 -1.632 6.503
I -3.034 -1.088 4.335
Cd 0.000 0.000 0.000

=====

9
Lattice="5.672 0.000 0.000 2.836 4.912 0.000 2.836 1.637 5.920" Properties=species:S:1:pos:R:3 comment="CdI2O6 | the Alexandria database | GGA-PBE | relaxed" e_above_lowest_polymorph_ev_per_fu=0.85 spacegroup="R3, No. 146" dos_ef_per_ev_atom=0.00 magmom_total_mub_per_atom=0.000 formation_energy_uncorrected_ev_per_atom=-0.46 pbc="T T T"
O 4.002 3.176 1.424
O 6.421 4.770 1.424
O 4.474 4.583 4.462
O 5.138 1.583 4.462
O 7.404 3.658 4.462
O 6.593 1.878 1.424
Cd 2.836 1.637 0.133
I 5.672 3.275 2.200
I 8.508 4.912 3.707

=====

4
Lattice="0.000 3.512 3.512 3.512 0.000 3.512 3.512 3.512 0.000" Properties=species:S:1:pos:R:3 comment="Cd2IO | the Alexandria database | GGA-PBE | relaxed" spacegroup="Fm-3m, No. 225" dos_ef_per_ev_atom=0.48 magmom_total_mub_per_atom=0.000 formation_energy_uncorrected_ev_per_atom=0.21 pbc="T T T"
O 0.000 0.000 0.000
Cd 5.268 5.268 5.268
Cd 1.756 1.756 1.756
I 3.512 3.512 3.512

=====

11
Lattice="5.969 0.318 0.458 -0.316 5.707 0.596 -0.316 -1.447 5.553" Properties=species:S:1:pos:R:3 comment="Cd2I2O7 | the Alexandria database | GGA-PBE | relaxed" spacegroup="C2/m, No. 12" dos_ef_per_ev_atom=0.00 magmom_total_mub_per_atom=0.000 formation_energy_uncorrected_ev_per_atom=-0.59 pbc="T T T"
O 4.032 2.325 0.771
O 1.166 2.223 3.208
O 4.032 -0.094 2.447
O 1.304 2.254 5.836
O 0.000 0.000 0.000
O 4.170 2.355 3.399
O 1.304 4.673 4.160
Cd 2.668 0.850 4.301
Cd 2.668 3.728 2.306
I 0.244 3.210 4.632
I 5.093 1.369 1.975

=====

4
Lattice="2.009 0.000 6.486 -1.005 1.740 6.486 -1.005 -1.740 6.486" Properties=species:S:1:pos:R:3 comment="CdIO2 | the Alexandria database | GGA-PBE | relaxed" e_above_lowest_polymorph_ev_per_fu=0.00 spacegroup="R-3m, No. 166" dos_ef_per_ev_atom=0.38 magmom_total_mub_per_atom=0.000 formation_energy_uncorrected_ev_per_atom=-0.57 pbc="T T T"
O 0.000 0.000 2.076
O 0.000 0.000 17.381
Cd 0.000 0.000 9.729
I 0.000 0.000 0.000

=====

8
Lattice="-1.215 1.050 -5.901 -4.406 -4.239 0.153 -5.276 1.003 -1.904" Properties=species:S:1:pos:R:3 comment="CdIO2 | the Alexandria database | GGA-PBE | relaxed" e_above_lowest_polymorph_ev_per_fu=2.00 spacegroup="I-42d, No. 122" dos_ef_per_ev_atom=0.75 magmom_total_mub_per_atom=0.000 formation_energy_uncorrected_ev_per_atom=-0.07 pbc="T T T"
O -4.251 -2.245 -1.245
O -6.160 -0.535 -3.580
O -2.603 0.354 -4.019
O -8.781 -1.947 -6.461
I -4.651 0.229 -5.340
I 0.000 0.000 0.000
Cd -6.247 -2.415 -2.313
Cd -2.811 -1.595 -2.874

=====

24
Lattice="-0.596 3.785 3.134 -0.818 -4.473 5.247 10.965 0.182 1.865" Properties=species:S:1:pos:R:3 comment="CdIO4 | the Alexandria database | GGA-PBE | relaxed" e_above_lowest_polymorph_ev_per_fu=0.64 spacegroup="Pnma, No. 62" dos_ef_per_ev_atom=0.23 magmom_total_mub_per_atom=0.163 formation_energy_uncorrected_ev_per_atom=-0.45 pbc="T T T"
Cd -0.298 1.893 1.567
Cd 5.483 0.091 0.932
Cd 5.074 -2.146 3.556
Cd -0.707 -0.344 4.191
I 7.323 0.881 4.190
I 7.420 0.551 8.518
I 2.131 -1.056 1.729
I 2.228 -1.387 6.056
O 3.883 -2.264 5.566
O 6.758 -0.830 4.532
O 1.319 -1.202 3.367
O 7.094 1.009 2.374
O 5.655 0.014 7.785
O 0.165 1.802 3.859
O 9.248 0.406 4.085
O 2.794 0.325 5.714
O 5.669 1.758 4.680
O 2.457 -1.515 7.872
O 8.232 0.696 6.879
O 0.304 -0.912 6.161
O 1.656 0.638 1.210
O 7.896 -1.144 9.036
O 9.387 -2.308 6.387
O 3.897 -0.520 2.461

=====

no.,E (eV per atom)
1,-4.2450
2,-2.6915
3,-4.2095
4,-1.8777
5,-4.1945
6,-3.6628
7,-3.1620
8,-4.1705